Density functional theory data (PBE-GGA) for a geometry-optimized Dy11Hg9Au4 structure.

Output
total moment: 0.00 μB/cell
energy of formation: -14.45 eV per formula unit
DFT total energy: -3.371 eV per atom
density of states at the Fermi level: 15.0 states/eV per cell

Lattice parameters (Å, degrees): 13.192 13.192 3.707 90.00 90.00 112.41
Fractional coordinates of all 24 atoms:
Dy1 0.000 0.000 0.000
Dy2 0.072 0.414 0.000
Dy3 0.167 0.833 0.000
Dy4 0.289 0.289 0.000
Dy5 0.363 0.637 0.000
Dy6 0.414 0.072 0.000
Dy7 0.586 0.928 0.000
Dy8 0.637 0.363 0.000
Dy9 0.711 0.711 0.000
Dy10 0.833 0.167 0.000
Dy11 0.928 0.586 0.000
Hg1 0.058 0.209 0.500
Hg2 0.150 0.632 0.500
Hg3 0.209 0.058 0.500
Hg4 0.368 0.850 0.500
Hg5 0.500 0.500 0.500
Hg6 0.632 0.150 0.500
Hg7 0.791 0.942 0.500
Hg8 0.850 0.368 0.500
Hg9 0.942 0.791 0.500
Au1 0.253 0.449 0.500
Au2 0.449 0.253 0.500
Au3 0.551 0.747 0.500
Au4 0.747 0.551 0.500